The following is a PBE-GGA calculation of an optimized crystal structure of Ac3Ga2CuNi6, from Alexandria via LeMat-Bulk.

Values from the calculation:
Mass density (kg/m3): 8757
DFT total energy (eV for the cell shown): -59.60

Cell lengths 5.6141, 5.6141, 8.5873 Å; angles 90.00, 90.00, 120.00 degrees
Space group P-3m1 (No. 164)
One atom of each set of equivalent atoms:
Ac (0.0000, 0.0000, 0.0000)
Ac (0.3333, 0.6667, 0.6480)
Ga (0.3333, 0.6667, 0.0748)
Cu (0.0000, 0.0000, 0.5000)
Ni (0.1784, 0.3567, 0.3020)